Record 1
Density functional theory data (PBE) for an optimized crystal structure of CaPr5Mg6.

D(E_F) (states/eV per cell): 13.0
Calculated formation energy (eV per atom): -0.107
SG: Cmmm (65)

Lattice parameters (Å, degrees): 5.5346 7.8580 8.7604 90.00 71.59 89.99
With the nearest neighbours (Å) after each atom.
Fractional positions:
Mg: 0.5000 0.2517 0.0000  6 Pr 3.39-3.40, 2 Ca 3.40
Pr: 0.3325 0.5000 0.3350  8 Mg 3.38-3.40
Ca: 0.0000 0.0000 0.0000  8 Mg 3.40
Pr: 0.0000 0.5000 0.0000  8 Mg 3.39-3.40
Mg: 0.8332 0.2505 0.3336  7 Pr 3.38-3.41, 1 Ca 3.40
Pr: 0.3341 0.0000 0.3318  8 Mg 3.39-3.41
Mg: 0.1668 0.2505 0.6664  7 Pr 3.38-3.41, 1 Ca 3.40
Mg: 0.1668 0.7495 0.6664  7 Pr 3.38-3.41, 1 Ca 3.40
Pr: 0.6659 0.0000 0.6682  8 Mg 3.39-3.41
Pr: 0.6675 0.5000 0.6650  8 Mg 3.38-3.40
Mg: 0.8332 0.7495 0.3336  7 Pr 3.38-3.41, 1 Ca 3.40
Mg: 0.5000 0.7483 0.0000  6 Pr 3.39-3.40, 2 Ca 3.40

=====

Record 2
Density functional theory data (PBE) for an optimized crystal structure of CaPrMg17.

D(E_F) (states/eV per cell): 8.6
Calculated formation energy (eV per atom): -0.048
SG: R3m (160)

Lattice parameters (Å, degrees): 7.8539 7.8539 7.8539 82.37 82.37 82.37
With the nearest neighbours (Å) after each atom.
Fractional positions:
Mg: 0.9999 0.3018 0.6979  8 Mg 2.99-3.20
Pr: 0.6684 0.6684 0.6684  16 Mg 3.56-3.87
Mg: 0.0999 0.0999 0.0999  7 Mg 3.04-3.29
Mg: 0.6499 0.6499 0.1587  9 Mg 2.96-3.28
Mg: 0.9964 0.5022 0.9964  10 Mg 2.99-3.18
Mg: 0.1587 0.6499 0.6499  9 Mg 2.96-3.28
Mg: 0.3018 0.6979 0.9999  8 Mg 2.99-3.20
Mg: 0.9010 0.9010 0.9010  7 Mg 3.04-3.28
Mg: 0.3018 0.9999 0.6979  8 Mg 2.99-3.20
Mg: 0.8406 0.3512 0.3512  9 Mg 2.96-3.29
Mg: 0.6979 0.3018 0.9999  8 Mg 2.99-3.20
Mg: 0.6499 0.1587 0.6499  9 Mg 2.96-3.28
Mg: 0.5022 0.9964 0.9964  10 Mg 2.99-3.18
Mg: 0.3512 0.3512 0.8406  9 Mg 2.96-3.29
Ca: 0.3351 0.3351 0.3351  19 Mg 3.60-4.01
Mg: 0.3512 0.8406 0.3512  9 Mg 2.96-3.29
Mg: 0.9964 0.9964 0.5022  10 Mg 2.99-3.18
Mg: 0.6979 0.9999 0.3018  8 Mg 2.99-3.20
Mg: 0.9999 0.6979 0.3018  8 Mg 2.99-3.20

=====

Record 3
Density functional theory data (PBE) for an optimized crystal structure of Ca2PrMg2.

D(E_F) (states/eV per cell): 5.3
Calculated formation energy (eV per atom): 0.064
SG: P-3m1 (164)

Lattice parameters (Å, degrees): 5.4779 5.4779 6.8077 90.02 90.02 60.01
With the nearest neighbours (Å) after each atom.
Fractional positions:
Mg: 0.1667 0.6667 0.8664  3 Pr 3.29, 5 Ca 3.30-3.51, 3 Mg 3.65
Mg: 0.8333 0.3333 0.1336  3 Pr 3.29, 5 Ca 3.30-3.51, 3 Mg 3.65
Pr: 0.5000 0.0000 0.0000  6 Mg 3.29
Ca: 0.8332 0.3332 0.6485  5 Mg 3.30-3.51
Ca: 0.1668 0.6668 0.3515  5 Mg 3.30-3.51

=====

Record 4
Density functional theory data (PBE) for an optimized crystal structure of CaPrMg4.

D(E_F) (states/eV per cell): 4.4
Calculated formation energy (eV per atom): -0.110
SG: F-43m (216)

Lattice parameters (Å, degrees): 6.1814 6.1814 6.1814 60.00 60.00 60.00
With the nearest neighbours (Å) after each atom.
Fractional positions:
Mg: 0.6258 0.6258 0.6258  6 Mg 3.07-3.11
Pr: 0.0000 0.0000 0.0000  12 Mg 3.62, 4 Ca 3.79
Ca: 0.2500 0.2500 0.2500  12 Mg 3.63, 4 Pr 3.79
Mg: 0.1225 0.6258 0.6258  6 Mg 3.07-3.11
Mg: 0.6258 0.6258 0.1225  6 Mg 3.07-3.11
Mg: 0.6258 0.1225 0.6258  6 Mg 3.07-3.11

=====

Record 5
Density functional theory data (PBE) for an optimized crystal structure of Ca3Pr2Mg3.

D(E_F) (states/eV per cell): 10.3
Calculated formation energy (eV per atom): -0.047
SG: Immm (71)

Lattice parameters (Å, degrees): 3.8110 5.7164 12.4484 103.27 98.80 90.00
With the nearest neighbours (Å) after each atom.
Fractional positions:
Ca: 0.5000 0.0000 0.0000  8 Mg 3.38-3.44
Mg: 0.1168 0.1168 0.2335  2 Pr 3.38, 6 Ca 3.38-3.44
Pr: 0.7333 0.2333 0.4667  2 Mg 3.38, 4 Pr 3.53
Pr: 0.2667 0.7667 0.5333  2 Mg 3.38, 4 Pr 3.53
Mg: 0.8832 0.8832 0.7665  2 Pr 3.38, 6 Ca 3.38-3.44
Ca: 0.3760 0.3760 0.7519  6 Mg 3.44-3.53, 2 Ca 3.81
Mg: 0.0000 0.5000 0.0000  8 Ca 3.44-3.53, 2 Mg 3.81
Ca: 0.6240 0.6240 0.2481  6 Mg 3.44-3.53, 2 Ca 3.81

=====

Record 6
Density functional theory data (PBE) for an optimized crystal structure of Ca2PrMg.

D(E_F) (states/eV per cell): 5.5
Calculated formation energy (eV per atom): 0.040
SG: P4/mmm (123)

Lattice parameters (Å, degrees): 5.4847 5.0508 5.0508 90.00 90.00 90.00
With the nearest neighbours (Å) after each atom.
Fractional positions:
Ca: 0.0000 0.0000 0.5000  4 Ca 3.57, 4 Pr 3.73, 4 Mg 3.73
Pr: 0.5000 0.5000 0.5000  4 Mg 3.57, 8 Ca 3.73
Ca: 0.0000 0.5000 0.0000  4 Ca 3.57, 4 Pr 3.73, 4 Mg 3.73
Mg: 0.5000 0.0000 0.0000  4 Pr 3.57, 8 Ca 3.73

=====

Record 7
Density functional theory data (PBE) for an optimized crystal structure of Ca2Pr3Mg2.

D(E_F) (states/eV per cell): 7.5
Calculated formation energy (eV per atom): -0.007
SG: Cmmm (65)

Lattice parameters (Å, degrees): 3.7761 3.7157 17.2328 90.00 96.29 90.00
With the nearest neighbours (Å) after each atom.
Fractional positions:
Pr: 0.0000 0.0000 0.0000  12 Pr 3.69-3.78
Pr: 0.5751 0.5000 0.1501  4 Mg 3.42, 8 Pr 3.69-3.78
Mg: 0.1382 0.0000 0.2764  4 Ca 3.41, 4 Pr 3.42, 4 Mg 3.72-3.78
Ca: 0.7011 0.5000 0.4022  4 Mg 3.41, 4 Ca 3.72-3.78
Mg: 0.8618 0.0000 0.7236  4 Ca 3.41, 4 Pr 3.42, 4 Mg 3.72-3.78
Ca: 0.2989 0.5000 0.5978  4 Mg 3.41, 4 Ca 3.72-3.78
Pr: 0.4249 0.5000 0.8499  4 Mg 3.42, 8 Pr 3.69-3.78

=====

Record 8
Density functional theory data (PBE) for an optimized crystal structure of Ca2PrMg.

D(E_F) (states/eV per cell): 5.6
Calculated formation energy (eV per atom): 0.101
SG: Fm-3m (225)

Lattice parameters (Å, degrees): 5.8003 5.8003 5.8003 60.00 60.00 60.00
With the nearest neighbours (Å) after each atom.
Fractional positions:
Pr: 0.0000 0.0000 0.0000  8 Ca 3.55
Ca: 0.2500 0.2500 0.2500  4 Pr 3.55, 4 Mg 3.55
Ca: 0.7500 0.7500 0.7500  4 Pr 3.55, 4 Mg 3.55
Mg: 0.5000 0.5000 0.5000  8 Ca 3.55

=====

Record 9
Density functional theory data (PBE) for an optimized crystal structure of CaPr3Mg2.

D(E_F) (states/eV per cell): 4.6
Calculated formation energy (eV per atom): -0.055
SG: P4/mmm (123)

Lattice parameters (Å, degrees): 3.9368 3.9368 12.7110 90.00 90.00 90.00
With the nearest neighbours (Å) after each atom.
Fractional positions:
Pr: 0.0000 0.0000 0.2984  4 Mg 3.35
Pr: 0.0000 0.0000 0.0000  8 Mg 3.38
Pr: 0.0000 0.0000 0.7016  4 Mg 3.35
Ca: 0.5000 0.5000 0.5000  8 Pr 3.78, 4 Ca 3.94
Mg: 0.5000 0.5000 0.8488  8 Pr 3.35-3.38
Mg: 0.5000 0.5000 0.1512  8 Pr 3.35-3.38

=====

Record 10
Density functional theory data (PBE) for an optimized crystal structure of CaPr3Mg.

D(E_F) (states/eV per cell): 11.3
Calculated formation energy (eV per atom): -0.004
SG: C2/m (12)

Lattice parameters (Å, degrees): 3.8166 7.0413 13.3980 86.18 90.00 74.27
With the nearest neighbours (Å) after each atom.
Fractional positions:
Pr: 0.6338 0.7323 0.9773  9 Pr 3.59-3.82, 3 Ca 3.86-3.95
Ca: 0.7707 0.4589 0.2475  2 Mg 3.37, 3 Pr 3.72-3.77
Ca: 0.2293 0.5411 0.7525  2 Mg 3.37, 3 Pr 3.72-3.77
Pr: 0.8573 0.2851 0.5480  4 Mg 3.34-3.41, 2 Pr 3.64
Pr: 0.1427 0.7149 0.4520  4 Mg 3.34-3.41, 2 Pr 3.64
Mg: 0.4450 0.1104 0.3698  6 Pr 3.34-3.41, 2 Ca 3.37, 1 Mg 3.70
Mg: 0.5550 0.8896 0.6302  6 Pr 3.34-3.41, 2 Ca 3.37, 1 Mg 3.70
Pr: 0.3662 0.2677 0.0227  9 Pr 3.59-3.82, 3 Ca 3.86-3.95
Pr: 0.0342 0.9320 0.1861  2 Mg 3.40, 5 Pr 3.59-3.76, 3 Ca 3.72-3.77
Pr: 0.9658 0.0680 0.8139  2 Mg 3.40, 5 Pr 3.59-3.76, 3 Ca 3.72-3.77

=====

Record 11
Density functional theory data (PBE) for an optimized crystal structure of Ca2PrMg.

D(E_F) (states/eV per cell): 5.1
Calculated formation energy (eV per atom): 0.171
SG: R-3m (166)

Lattice parameters (Å, degrees): 3.5950 3.5950 12.9227 82.00 82.00 60.00
With the nearest neighbours (Å) after each atom.
Fractional positions:
Ca: 0.0931 0.0931 0.7207  3 Mg 3.50, 1 Pr 3.56, 6 Ca 3.59
Pr: 0.0000 0.0000 0.0000  2 Ca 3.56, 6 Pr 3.59
Ca: 0.9069 0.9069 0.2793  3 Mg 3.50, 1 Pr 3.56, 6 Ca 3.59
Mg: 0.5000 0.5000 0.5000  6 Ca 3.50, 6 Mg 3.59

=====

Record 12
Density functional theory data (PBE) for an optimized crystal structure of CaPr2Mg4.

D(E_F) (states/eV per cell): 6.7
Calculated formation energy (eV per atom): 0.061
SG: R-3m (166)

Lattice parameters (Å, degrees): 5.4850 5.4850 8.5123 71.21 71.21 60.00
With the nearest neighbours (Å) after each atom.
Fractional positions:
Mg: 0.8629 0.8629 0.4112  1 Ca 3.25, 6 Mg 3.30-3.46, 1 Pr 3.40
Ca: 0.0000 0.0000 0.0000  2 Mg 3.25, 6 Pr 3.41
Mg: 0.5693 0.5693 0.2920  4 Mg 3.29-3.30, 4 Pr 3.34-3.56
Mg: 0.4307 0.4307 0.7080  4 Mg 3.29-3.30, 4 Pr 3.34-3.56
Mg: 0.1371 0.1371 0.5888  1 Ca 3.25, 6 Mg 3.30-3.46, 1 Pr 3.40
Pr: 0.7195 0.7195 0.8416  5 Mg 3.34-3.56, 3 Ca 3.41
Pr: 0.2805 0.2805 0.1584  5 Mg 3.34-3.56, 3 Ca 3.41

=====

Number 9 is which compound? CaPr3Mg2